The following is a DFT calculation (meta-GGA SCAN) of a crystal of YHfCu2H relaxed with PBEsol.

DOS at the Fermi energy = 0.67 states/eV/atom
E_tot = -124.3 eV per cell
Calculated density = 8.66 g/cm3

Cell: 4.5468 4.5468 3.6667 Å, 90.00 90.00 90.00°
Space group P4/mmm (No. 123)
Inequivalent atoms, fractional coordinates:
1 Y 0.0000 0.0000 0.0000 x1
2 Hf 0.5000 0.5000 0.0000 x1
3 Cu 0.0000 0.5000 0.5000 x2
4 H 0.5000 0.5000 0.5000 x1